Entry 1:
Material: CaDy2HfN4
Method: DFT, PBE
State: relaxed

Values from the calculation:
**Fermi-level density of states**: 0.5 states/eV per cell
**Formation energy from raw total energies**: -1.566 eV per atom
**Total magnetization**: 0.000 μB per formula unit

Geometry as CIF:
```
data_CaDy2HfN4
_cell_length_a 5.8509
_cell_length_b 3.3974
_cell_length_c 5.9140
_cell_angle_alpha 90.00
_cell_angle_beta 109.04
_cell_angle_gamma 90.00
_symmetry_space_group_name_H-M 'P 1 2/m 1'
_symmetry_Int_Tables_number 10
_symmetry_space_group_name_Hall '-P 2y'
loop_
_atom_site_label
_atom_site_type_symbol
_atom_site_fract_x
_atom_site_fract_y
_atom_site_fract_z
Ca1 Ca 0.0000 0.0000 0.0000
Dy1 Dy 0.5000 0.0000 0.5000
Dy2 Dy 0.5000 0.5000 0.0000
Hf1 Hf 0.0000 0.5000 0.5000
N1 N 0.2365 0.0000 0.7315
N2 N 0.2449 0.5000 0.2716
```

Entry 2:
Material: NdNpGa4
Method: DFT, PBE
State: relaxed

Values from the calculation:
**Formation energy**: -0.28 eV/atom
**Fermi-level density of states**: 64.3 states/eV per cell
**Total magnetization**: 4.732 μB per formula unit

Geometry as CIF:
```
data_NdNpGa4
_cell_length_a 7.8929
_cell_length_b 7.8929
_cell_length_c 7.8929
_cell_angle_alpha 90.00
_cell_angle_beta 90.00
_cell_angle_gamma 90.00
_symmetry_space_group_name_H-M 'F -4 3 m'
_symmetry_Int_Tables_number 216
_symmetry_space_group_name_Hall 'F -4 2 3'
loop_
_atom_site_label
_atom_site_type_symbol
_atom_site_fract_x
_atom_site_fract_y
_atom_site_fract_z
Nd1 Nd 0.0000 0.0000 0.0000
Np1 Np 0.2500 0.2500 0.7500
Ga1 Ga 0.1246 0.1246 0.3754
```

Repeat the second record exactly.
Material: NdNpGa4
Method: DFT, PBE
State: relaxed

Values from the calculation:
**Formation energy**: -0.28 eV/atom
**Fermi-level density of states**: 64.3 states/eV per cell
**Total magnetization**: 4.732 μB per formula unit

Geometry as CIF:
```
data_NdNpGa4
_cell_length_a 7.8929
_cell_length_b 7.8929
_cell_length_c 7.8929
_cell_angle_alpha 90.00
_cell_angle_beta 90.00
_cell_angle_gamma 90.00
_symmetry_space_group_name_H-M 'F -4 3 m'
_symmetry_Int_Tables_number 216
_symmetry_space_group_name_Hall 'F -4 2 3'
loop_
_atom_site_label
_atom_site_type_symbol
_atom_site_fract_x
_atom_site_fract_y
_atom_site_fract_z
Nd1 Nd 0.0000 0.0000 0.0000
Np1 Np 0.2500 0.2500 0.7500
Ga1 Ga 0.1246 0.1246 0.3754
```

> total magnetization of number 2 (NdNpGa4)?

4.732 μB per formula unit

> What is the Fermi-level density of states in the first record?

0.5 states/eV per cell

> What is the total magnetization in the second record?

4.732 μB per formula unit